! RbTe2WAu | Alexandria | PBE | optimized geometry; values from VASP
! E: -4.61 eV/atom
&SYSTEM
  ibrav = 0, nat = 5, ntyp = 4
/
ATOMIC_SPECIES
Rb 85.47 Rb.upf
Te 127.60 Te.upf
W 183.84 W.upf
Au 196.97 Au.upf
CELL_PARAMETERS angstrom
5.3465 0.0000 0.0000
0.0000 5.3465 0.0000
0.0000 0.0000 5.3696
ATOMIC_POSITIONS crystal
Rb 0.0000 0.0000 0.0000
Te 0.0000 0.5000 0.5000
Te 0.5000 0.0000 0.5000
W 0.5000 0.5000 0.5000
Au 0.5000 0.5000 0.0000

=====

! AlIr2Se | Alexandria | PBE | optimized geometry; values from VASP
! E: -6.35 eV/atom
&SYSTEM
  ibrav = 0, nat = 4, ntyp = 3
/
ATOMIC_SPECIES
Al 26.98 Al.upf
Ir 192.22 Ir.upf
Se 78.96 Se.upf
CELL_PARAMETERS angstrom
2.9640 0.0000 0.0000
0.0000 3.3647 0.0000
0.0000 0.0000 6.0492
ATOMIC_POSITIONS crystal
Al 0.0000 0.0000 0.0000
Ir 0.5000 0.5000 0.2312
Ir 0.5000 0.5000 0.7688
Se 0.0000 0.0000 0.5000

=====

! ZrFeOs2 | Alexandria | PBE | optimized geometry; values from VASP
! energy relative to the elements: 0.080 eV/atom
&SYSTEM
  ibrav = 0, nat = 4, ntyp = 3
/
ATOMIC_SPECIES
Zr 91.22 Zr.upf
Fe 55.84 Fe.upf
Os 190.23 Os.upf
CELL_PARAMETERS angstrom
2.7845 0.0000 0.0000
0.0000 4.3499 0.0000
-0.8978 0.0000 5.1574
ATOMIC_POSITIONS crystal
Zr 0.0000 0.0000 0.0000
Fe 0.5000 0.0000 0.5000
Os 0.3066 0.5000 0.7206
Os 0.6934 0.5000 0.2794

=====

! MnOsRu2 | Alexandria | PBE | optimized geometry; values from VASP
! energy relative to the elements: 0.090 eV/atom
&SYSTEM
  ibrav = 0, nat = 4, ntyp = 3
/
ATOMIC_SPECIES
Mn 54.94 Mn.upf
Os 190.23 Os.upf
Ru 101.07 Ru.upf
CELL_PARAMETERS angstrom
2.3381 -1.3510 0.0000
2.3381 1.3510 0.0000
-1.5479 0.0000 8.5360
ATOMIC_POSITIONS crystal
Mn 0.0000 0.0000 0.0000
Os 0.8366 0.8366 0.5052
Ru 0.4174 0.4174 0.2456
Ru 0.5878 0.5878 0.7581

=====

! CdMo2As | Alexandria | PBE | optimized geometry; values from VASP
! energy relative to the elements: 0.203 eV/atom
&SYSTEM
  ibrav = 0, nat = 4, ntyp = 3
/
ATOMIC_SPECIES
Cd 112.41 Cd.upf
Mo 95.94 Mo.upf
As 74.92 As.upf
CELL_PARAMETERS angstrom
1.5320 0.8845 9.0583
-1.5320 0.8845 9.0583
0.0000 -1.7690 9.0583
ATOMIC_POSITIONS crystal
Cd 0.0000 0.0000 0.0000
Mo 0.2432 0.2432 0.2432
Mo 0.5064 0.5064 0.5064
As 0.7668 0.7668 0.7668

=====

! TiGa2I | Alexandria | PBE | optimized geometry; values from VASP
! E: -3.30 eV/atom
&SYSTEM
  ibrav = 0, nat = 4, ntyp = 3
/
ATOMIC_SPECIES
Ti 47.87 Ti.upf
Ga 69.72 Ga.upf
I 126.90 I.upf
CELL_PARAMETERS angstrom
0.0000 3.5770 3.5770
3.5770 0.0000 3.5770
3.5770 3.5770 0.0000
ATOMIC_POSITIONS crystal
Ti 0.0000 0.0000 0.0000
Ga 0.2500 0.2500 0.2500
Ga 0.7500 0.7500 0.7500
I 0.5000 0.5000 0.5000

=====

Number 1: calculated volume 153.5 Å³/cell, DOS(E_F) 3.856 states/eV/cell. Number 2: calculated volume 60.3 Å³/cell, DOS(E_F) 2.034 states/eV/cell. Number 3: calculated volume 62.5 Å³/cell, DOS(E_F) 3.929 states/eV/cell. Number 4: calculated volume 53.9 Å³/cell, DOS(E_F) 3.943 states/eV/cell. Number 5: calculated volume 73.6 Å³/cell, DOS(E_F) 4.124 states/eV/cell. Number 6: calculated volume 91.5 Å³/cell, DOS(E_F) 4.293 states/eV/cell.